[1]
Density functional theory data (PBE-GGA) for an optimized crystal structure of La3TbEr6Th2.

Geometry as POSCAR:
```
La3TbEr6Th2
1.0
6.213 0.000 0.004
-3.105 5.381 0.004
-1.047 -1.813 11.591
La Tb Er Th
3 1 6 2
Direct
0.166 0.834 0.500
0.834 0.166 0.500
0.500 0.500 0.500
0.000 0.000 0.000
0.919 0.582 0.757
0.744 0.744 0.243
0.081 0.418 0.243
0.582 0.919 0.757
0.256 0.256 0.757
0.418 0.081 0.243
0.333 0.667 0.000
0.667 0.333 0.000
```

As for the formation energy: 0.020 eV per atom. The value obtained for the theoretical density is 8.75 g/cm3. Its volume is 32.3 Å³ per atom. Its space group is No. 12. Its density of states at the Fermi level is 15.29 states/eV/cell. The size of the total moment is 0.0 μB/f.u.



[2]
Density functional theory data (PBE-GGA) for an optimized crystal structure of LaTb2Er4Th.

Geometry as POSCAR:
```
LaTb2Er4Th
1.0
-3.488 -2.039 -3.095
2.608 -4.351 -0.073
-2.511 -7.546 7.802
La Tb Er Th
1 2 4 1
Direct
0.500 0.500 0.000
0.000 0.000 0.000
0.500 0.000 0.500
0.000 0.756 0.744
0.000 0.244 0.256
0.500 0.744 0.256
0.500 0.256 0.744
0.000 0.500 0.500
```

As for the formation energy: 0.036 eV per atom. The value obtained for the theoretical density is 8.80 g/cm3. Its volume is 32.0 Å³ per atom. Its space group is No. 47. Its density of states at the Fermi level is 11.98 states/eV/cell. The size of the total moment is 0.0 μB/f.u.



[3]
Density functional theory data (PBE-GGA) for an optimized crystal structure of La5TbEr2Th.

Geometry as POSCAR:
```
La5TbEr2Th
1.0
-3.659 3.574 2.022
-0.344 -8.619 7.131
7.695 4.554 5.876
La Tb Er Th
10 2 4 2
Direct
0.372 0.745 0.008
0.723 0.446 0.816
0.500 0.000 0.758
0.277 0.554 0.701
0.002 0.004 0.508
0.628 0.255 0.508
0.277 0.554 0.316
0.500 0.000 0.258
0.723 0.446 0.201
0.998 0.996 0.008
0.602 0.204 0.008
0.398 0.796 0.508
0.888 0.776 0.750
0.112 0.224 0.766
0.112 0.224 0.250
0.888 0.776 0.266
0.788 0.575 0.508
0.212 0.425 0.008
```

As for the formation energy: 0.130 eV per atom. The value obtained for the theoretical density is 7.39 g/cm3. Its volume is 35.5 Å³ per atom. Its space group is No. 36. Its density of states at the Fermi level is 26.05 states/eV/cell. The size of the total moment is 0.0 μB/f.u.



[4]
Density functional theory data (PBE-GGA) for an optimized crystal structure of La3Tb6Er2Th.

Geometry as POSCAR:
```
La3Tb6Er2Th
1.0
-5.855 0.481 -2.067
4.611 -1.294 -3.981
-1.190 -11.215 3.894
La Tb Er Th
3 6 2 1
Direct
0.167 0.833 0.500
0.833 0.167 0.500
0.500 0.500 0.500
0.919 0.588 0.756
0.751 0.751 0.244
0.081 0.412 0.244
0.588 0.919 0.756
0.249 0.249 0.756
0.412 0.081 0.244
0.333 0.667 0.000
0.667 0.333 0.000
0.000 0.000 0.000
```

As for the formation energy: 0.022 eV per atom. The value obtained for the theoretical density is 8.15 g/cm3. Its volume is 32.9 Å³ per atom. Its space group is No. 12. Its density of states at the Fermi level is 16.39 states/eV/cell. The size of the total moment is 0.0 μB/f.u.



[5]
Density functional theory data (PBE-GGA) for an optimized crystal structure of LaTb2ErTh.

Geometry as POSCAR:
```
LaTb2ErTh
1.0
5.681 0.000 0.000
0.000 8.617 1.463
0.000 -1.180 6.951
La Tb Er Th
2 4 2 2
Direct
0.000 0.000 0.000
0.000 0.000 0.500
0.499 0.678 0.000
0.499 0.322 0.500
0.501 0.678 0.500
0.501 0.322 0.000
0.000 0.500 0.750
0.000 0.500 0.250
0.500 0.000 0.250
0.500 0.000 0.750
```

As for the formation energy: 0.293 eV per atom. The value obtained for the theoretical density is 8.12 g/cm3. Its volume is 35.0 Å³ per atom. Its space group is No. 47. Its density of states at the Fermi level is 17.03 states/eV/cell. The size of the total moment is 0.0 μB/f.u.



[6]
Density functional theory data (PBE-GGA) for an optimized crystal structure of LaTbEr5Th2.

Geometry as POSCAR:
```
LaTbEr5Th2
1.0
8.918 0.000 0.000
0.000 8.918 0.000
-4.459 -4.459 7.529
La Tb Er Th
2 2 10 4
Direct
0.250 0.250 0.500
0.750 0.750 0.500
0.250 0.750 0.500
0.750 0.250 0.500
0.930 0.430 0.271
0.658 0.158 0.729
0.070 0.570 0.729
0.158 0.070 0.729
0.570 0.658 0.729
0.842 0.930 0.271
0.430 0.342 0.271
0.342 0.842 0.271
0.500 0.500 0.000
0.000 0.000 0.000
0.118 0.382 0.000
0.618 0.118 0.000
0.382 0.882 0.000
0.882 0.618 0.000
```

As for the formation energy: 0.328 eV per atom. The value obtained for the theoretical density is 8.87 g/cm3. Its volume is 33.3 Å³ per atom. Its space group is No. 140. Its density of states at the Fermi level is 25.74 states/eV/cell. The size of the total moment is 0.0 μB/f.u.



| no. | uncorrected energy (eV per atom) |
| --- | --- |
| 1 | -5.12 |
| 2 | -4.95 |
| 3 | -4.96 |
| 4 | -4.90 |
| 5 | -4.94 |
| 6 | -4.92 |